VASP calculation (SCAN) on a crystal of Mn3Os relaxed with PBEsol.

Values from the calculation:
The size of the total moment is 5.0 μB/f.u. The value obtained for the raw total energy is -126.9 eV/cell. The density of states at the Fermi level is 3.9 states/eV/f.u.

Unit cell a=2.868 b=2.868 c=5.734 alpha=90.00 beta=90.00 gamma=90.00
Positions (direct):
Mn  0.000  0.000  0.771
Mn  0.000  0.000  0.229
Mn  0.500  0.500  0.000
Os  0.500  0.500  0.500